The following is a PBE-GGA calculation of PrLuMgZn after structural relaxation, from Alexandria via LeMat-Bulk.

Values from the calculation:
ΔE_f   -0.16 eV/atom
N(E_F)   1.07 states/eV/atom

a b c (Å): 7.415 7.415 7.415
angles (deg): 90.00 90.00 90.00
Space group F-43m (No. 216)
Asymmetric unit:
Pr1 0.000 0.000 0.000
Lu1 0.000 0.000 0.500
Mg1 0.250 0.250 0.250
Zn1 0.250 0.250 0.750

---

The following is a PBE-GGA calculation of Pr8Dy5Sc after structural relaxation, from Alexandria via LeMat-Bulk.

Values from the calculation:
ΔE_f   0.18 eV/atom
N(E_F)   1.53 states/eV/atom

a b c (Å): 15.597 8.451 8.647
angles (deg): 90.00 121.68 90.00
Space group C2 (No. 5)
Asymmetric unit:
Pr1 0.123 0.000 0.183
Pr2 0.169 0.600 0.211
Pr3 0.184 0.290 0.919
Pr4 0.187 0.780 0.571
Dy1 0.000 0.046 0.500
Dy2 0.049 0.695 0.768
Dy3 0.102 0.377 0.463
Sc1 0.000 0.338 0.000

---

The following is a PBE-GGA calculation of TlIr2Au after structural relaxation, from Alexandria via LeMat-Bulk.

Values from the calculation:
ΔE_f   0.46 eV/atom
Polymorph energy (0 for the lowest one)   70 meV/atom
N(E_F)   0.80 states/eV/atom

a b c (Å): 8.405 2.843 6.549
angles (deg): 90.00 99.50 90.00
Space group Cm (No. 8)
Asymmetric unit:
Tl1 0.000 0.000 0.000
Ir1 0.248 0.500 0.299
Ir2 0.493 0.000 0.445
Au1 0.242 0.000 0.704

---

The following is a PBE-GGA calculation of CaPH5O6 after structural relaxation, from Alexandria via LeMat-Bulk.

Values from the calculation:
Polymorph energy (0 for the lowest one)   53 meV/atom
N(E_F)   0.00 states/eV/atom

a b c (Å): 5.981 17.693 5.986
angles (deg): 90.00 111.87 90.00
Space group Cc (No. 9)
Asymmetric unit:
Ca1 0.000 0.072 0.000
P1 0.066 0.095 0.534
H1 0.099 0.297 0.010
H2 0.117 0.229 0.833
H3 0.178 0.278 0.385
H4 0.286 0.321 0.820
H5 0.487 0.156 0.799
O1 0.076 0.283 0.840
O2 0.152 0.328 0.305
O3 0.205 0.139 0.771
O4 0.218 0.046 0.436
O5 0.367 0.452 0.076
O6 0.446 0.345 0.818

---

The following is a PBE-GGA calculation of K3Rb3MgI8 after structural relaxation, from Alexandria via LeMat-Bulk.

Values from the calculation:
Final energy   -2.73 eV per atom
N(E_F)   0.00 states/eV/atom

a b c (Å): 10.3009 10.3009 24.5973
angles (deg): 90.00 90.00 120.00
Space group R-3m (No. 166, hexagonal axes)
Asymmetric unit:
K1 0.0000 0.5000 0.0000
Rb1 0.0000 0.5000 0.5000
Mg1 0.0000 0.0000 0.5000
I1 0.0000 0.0000 0.2539
I2 0.0591 0.5295 0.2382

---

The following is a PBE-GGA calculation of Ag5Hg2Pd4 after structural relaxation, from Alexandria via LeMat-Bulk.

Values from the calculation:
ΔE_f   0.09 eV/atom
Polymorph energy (0 for the lowest one)   38 meV/atom
N(E_F)   0.36 states/eV/atom

a b c (Å): 21.707 2.865 7.020
angles (deg): 90.00 104.79 90.00
Space group C2/m (No. 12)
Asymmetric unit:
Ag1 0.000 0.000 0.000
Ag2 0.084 0.500 0.332
Ag3 0.180 0.500 0.702
Hg1 0.135 0.000 0.996
Pd1 0.045 0.500 0.686
Pd2 0.201 0.000 0.380

---

The following is a PBE-GGA calculation of Fe3MoOs after structural relaxation, from Alexandria via LeMat-Bulk.

Values from the calculation:
ΔE_f   1.88 eV/atom
Polymorph energy (0 for the lowest one)   130 meV/atom
N(E_F)   1.36 states/eV/atom

a b c (Å): 4.322 4.322 4.322
angles (deg): 90.00 90.00 90.00
Space group Pm-3m (No. 221)
Asymmetric unit:
Fe1 0.000 0.000 0.500
Mo1 0.000 0.000 0.000
Os1 0.500 0.500 0.500

---

The following is a PBE-GGA calculation of CaSmPS after structural relaxation, from Alexandria via LeMat-Bulk.

Values from the calculation:
Final energy   -5.84 eV per atom

a b c (Å): 4.1010 4.1010 20.0831
angles (deg): 90.00 90.00 120.00
Space group R3m (No. 160, hexagonal axes)
Asymmetric unit:
Ca1 0.0000 0.0000 0.0000
Sm1 0.0000 0.0000 0.5054
P1 0.0000 0.0000 0.2488
S1 0.0000 0.0000 0.7524

---

The following is a PBE-GGA calculation of CsIn4Pd after structural relaxation, from Alexandria via LeMat-Bulk.

Values from the calculation:
ΔE_f   -0.21 eV/atom
N(E_F)   0.65 states/eV/atom

a b c (Å): 9.270 9.272 10.295
angles (deg): 90.00 116.67 90.00
Space group C2/m (No. 12)
Asymmetric unit:
Cs1 0.250 0.250 0.000
In1 0.007 0.000 0.345
In2 0.161 0.500 0.655
In3 0.173 0.334 0.345
Pd1 0.000 0.250 0.500

---

The following is a PBE-GGA calculation of Pr4Y9Ho11 after structural relaxation, from Alexandria via LeMat-Bulk.

Values from the calculation:
ΔE_f   0.06 eV/atom
N(E_F)   1.28 states/eV/atom

a b c (Å): 16.758 25.164 3.705
angles (deg): 90.00 90.00 90.00
Space group Cmmm (No. 65)
Asymmetric unit:
Pr1 0.154 0.100 0.000
Y1 0.000 0.000 0.000
Y2 0.102 0.236 0.000
Y3 0.139 0.427 0.000
Ho1 0.000 0.136 0.500
Ho2 0.000 0.341 0.500
Ho3 0.000 0.500 0.500
Ho4 0.213 0.000 0.500
Ho5 0.226 0.319 0.500

---

The following is a PBE-GGA calculation of Ru5Rh after structural relaxation, from Alexandria via LeMat-Bulk.

Values from the calculation:
ΔE_f   0.79 eV/atom
Polymorph energy (0 for the lowest one)   781 meV/atom
N(E_F)   1.76 states/eV/atom

a b c (Å): 4.9990 4.9990 4.3947
angles (deg): 90.00 90.00 120.00
Space group P6/mmm (No. 191)
Asymmetric unit:
Ru1 0.0000 0.5000 0.0000
Ru2 0.3333 0.6667 0.5000
Rh1 0.0000 0.0000 0.5000

---

The following is a PBE-GGA calculation of KCrMo after structural relaxation, from Alexandria via LeMat-Bulk.

Values from the calculation:
ΔE_f   1.02 eV/atom
Polymorph energy (0 for the lowest one)   28 meV/atom
N(E_F)   0.82 states/eV/atom

a b c (Å): 3.127 5.028 15.738
angles (deg): 90.00 90.00 90.00
Space group Fmm2 (No. 42)
Asymmetric unit:
K1 0.000 0.000 0.000
Cr1 0.000 0.000 0.693
Mo1 0.000 0.000 0.299

---

The following is a PBE-GGA calculation of InSiPt after structural relaxation, from Alexandria via LeMat-Bulk.

Values from the calculation:
Final energy   -4.89 eV per atom
N(E_F)   0.26 states/eV/atom

a b c (Å): 3.221 3.221 10.839
angles (deg): 90.00 90.00 90.00
Space group I4mm (No. 107)
Asymmetric unit:
In1 0.000 0.000 0.000
Si1 0.000 0.000 0.705
Pt1 0.000 0.000 0.305

---

The following is a PBE-GGA calculation of GdGaSn2 after structural relaxation, from Alexandria via LeMat-Bulk.

Values from the calculation:
ΔE_f   0.26 eV/atom
Polymorph energy (0 for the lowest one)   761 meV/atom
N(E_F)   1.06 states/eV/atom

a b c (Å): 5.1288 5.1288 22.1101
angles (deg): 90.00 90.00 120.00
Space group R-3m (No. 166, hexagonal axes)
Asymmetric unit:
Gd1 0.0000 0.0000 0.0000
Ga1 0.0000 0.0000 0.5000
Sn1 0.0000 0.0000 0.3808

---

The following is a PBE-GGA calculation of RbTiBrCl3 after structural relaxation, from Alexandria via LeMat-Bulk.

Values from the calculation:
Final energy   -4.24 eV per atom
N(E_F)   0.19 states/eV/atom

a b c (Å): 6.621 22.218 6.162
angles (deg): 90.00 90.08 90.00
Space group C2/c (No. 15)
Asymmetric unit:
Rb1 0.000 0.237 0.250
Ti1 0.000 0.029 0.750
Br1 0.000 0.304 0.750
Cl1 0.000 0.130 0.750
Cl2 0.234 0.029 0.061

---

The following is a PBE-GGA calculation of SrCeHgSb after structural relaxation, from Alexandria via LeMat-Bulk.

Values from the calculation:
Final energy   -3.60 eV per atom
N(E_F)   2.42 states/eV/atom

a b c (Å): 7.858 7.858 7.858
angles (deg): 90.00 90.00 90.00
Space group F-43m (No. 216)
Asymmetric unit:
Sr1 0.000 0.000 0.000
Ce1 0.000 0.000 0.500
Hg1 0.250 0.250 0.750
Sb1 0.250 0.250 0.250

---

The following is a PBE-GGA calculation of GaBI3 after structural relaxation, from Alexandria via LeMat-Bulk.

Values from the calculation:
Polymorph energy (0 for the lowest one)   0 meV/atom
N(E_F)   0.32 states/eV/atom

a b c (Å): 5.263 5.263 5.263
angles (deg): 90.00 90.00 90.00
Space group Pm-3m (No. 221)
Asymmetric unit:
Ga1 0.000 0.000 0.000
B1 0.500 0.500 0.500
I1 0.000 0.500 0.500

---

The following is a PBE-GGA calculation of AlReNi after structural relaxation, from Alexandria via LeMat-Bulk.

Values from the calculation:
ΔE_f   -0.15 eV/atom
Polymorph energy (0 for the lowest one)   185 meV/atom
N(E_F)   0.45 states/eV/atom

a b c (Å): 2.7254 2.7254 6.2917
angles (deg): 90.00 90.00 120.00
Space group P3m1 (No. 156)
Asymmetric unit:
Al1 0.0000 0.0000 0.0000
Re1 0.3333 0.6667 0.6426
Ni1 0.6667 0.3333 0.3118

---

The following is a PBE-GGA calculation of Pm4Si2Au5 after structural relaxation, from Alexandria via LeMat-Bulk.

Values from the calculation:
Final energy   -4.95 eV per atom
N(E_F)   0.73 states/eV/atom

a b c (Å): 7.277 4.106 8.512
angles (deg): 90.00 90.71 90.00
Space group P2/m (No. 10)
Asymmetric unit:
Pm1 0.214 0.000 0.364
Pm2 0.249 0.000 0.901
Si1 0.067 0.500 0.127
Au1 0.140 0.500 0.633
Au2 0.427 0.500 0.154
Au3 0.500 0.500 0.500

---

The following is a PBE-GGA calculation of SrMgAu2 after structural relaxation, from Alexandria via LeMat-Bulk.

Values from the calculation:
ΔE_f   -0.44 eV/atom
N(E_F)   0.41 states/eV/atom

a b c (Å): 4.377 4.377 9.862
angles (deg): 90.00 90.00 90.00
Space group I-4m2 (No. 119)
Asymmetric unit:
Sr1 0.000 0.000 0.000
Mg1 0.000 0.500 0.250
Au1 0.000 0.000 0.500
Au2 0.000 0.500 0.750

---

The following is a PBE-GGA calculation of Ca2ZnN after structural relaxation, from Alexandria via LeMat-Bulk.

Values from the calculation:
Polymorph energy (0 for the lowest one)   597 meV/atom
N(E_F)   0.61 states/eV/atom

a b c (Å): 6.791 6.791 6.791
angles (deg): 90.00 90.00 90.00
Space group Fm-3m (No. 225)
Asymmetric unit:
Ca1 0.250 0.250 0.250
Zn1 0.000 0.000 0.000
N1 0.000 0.000 0.500

---

The following is a PBE-GGA calculation of BaCa2Al after structural relaxation, from Alexandria via LeMat-Bulk.

Values from the calculation:
ΔE_f   0.04 eV/atom
N(E_F)   1.50 states/eV/atom

a b c (Å): 5.066 5.291 5.422
angles (deg): 90.00 90.00 90.00
Space group Pmmm (No. 47)
Asymmetric unit:
Ba1 0.000 0.000 0.000
Ca1 0.000 0.500 0.500
Ca2 0.500 0.000 0.500
Al1 0.500 0.500 0.000

---

The following is a PBE-GGA calculation of Ho5Mg4Co2 after structural relaxation, from Alexandria via LeMat-Bulk.

Values from the calculation:
ΔE_f   -0.14 eV/atom
N(E_F)   0.93 states/eV/atom

a b c (Å): 7.997 18.174 3.557
angles (deg): 90.00 90.00 90.00
Space group Pbam (No. 55)
Asymmetric unit:
Ho1 0.000 0.000 0.000
Ho2 0.127 0.404 0.000
Ho3 0.232 0.721 0.000
Mg1 0.051 0.848 0.500
Mg2 0.196 0.566 0.500
Co1 0.043 0.300 0.500